Pm3YB4O12: relaxed, PBE.

Properties
As for the total energy: -8.347 eV per atom. Its magnetic moment is 0.0 μB per formula unit.

abc: 10.2521 10.2521 8.7824
angles: 90.00 90.00 120.00
Space group R32 (No. 155, hexagonal axes)
Symmetry-distinct sites (fractional):
Pm 0.0000 0.5229 0.0000 x9
Y 0.0000 0.0000 0.0000 x3
B 0.0000 0.0000 0.5000 x3
B 0.0000 0.4760 0.5000 x9
O 0.0000 0.6097 0.5000 x9
O 0.0000 0.8660 0.5000 x9
O 0.0087 0.1945 0.8383 x18

---

PmZn2B2O6: relaxed, PBE.

Properties
As for the total energy: -6.730 eV per atom. Its magnetic moment is 0.3 μB per formula unit.

abc: 5.0501 5.0501 7.2404
angles: 90.00 90.00 120.00
Space group P-3 (No. 147)
Symmetry-distinct sites (fractional):
Pm 0.0000 0.0000 0.0000 x1
Zn 0.3333 0.6667 0.3124 x2
B 0.3333 0.6667 0.7917 x2
O 0.0557 0.6600 0.7975 x6

---

PmZrBO5: relaxed, PBE.

Properties
As for the total energy: -8.599 eV per atom. Its magnetic moment is 0.0 μB per formula unit.

abc: 6.521 8.815 7.243
angles: 90.00 110.97 90.00
Space group C2/c (No. 15)
Symmetry-distinct sites (fractional):
Pm 0.000 0.152 0.250 x4
Zr 0.000 0.500 0.000 x4
B 0.000 0.182 0.750 x4
O 0.000 0.404 0.250 x4
O 0.107 0.281 0.639 x8
O 0.162 0.077 0.902 x8

---

PrB4O7: relaxed, PBE.

Properties
As for the total energy: -7.911 eV per atom. Its magnetic moment is 1.0 μB per formula unit.

abc: 10.970 4.499 4.294
angles: 90.00 90.00 90.00
Space group Pmn2_1 (No. 31)
Symmetry-distinct sites (fractional):
Pr 0.000 0.231 0.000 x2
B 0.122 0.677 0.498 x4
B 0.245 0.826 0.974 x4
O 0.000 0.743 0.375 x2
O 0.131 0.748 0.828 x4
O 0.150 0.366 0.440 x4
O 0.215 0.879 0.322 x4

---

Pr2B2O7: relaxed, PBE.

Properties
As for the total energy: -7.710 eV per atom. Its magnetic moment is 0.0 μB per formula unit.

abc: 7.371 8.958 4.664
angles: 90.00 114.92 90.00
Space group C2/m (No. 12)
Symmetry-distinct sites (fractional):
Pr 0.000 0.220 0.000 x4
B 0.216 0.000 0.612 x4
O 0.000 0.500 0.500 x2
O 0.203 0.000 0.303 x4
O 0.208 0.136 0.746 x8

---

PrBO3: relaxed, PBE.

Properties
As for the total energy: -8.148 eV per atom. Its magnetic moment is 0.0 μB per formula unit.

abc: 5.196 8.596 4.947
angles: 90.00 96.83 90.00
Space group Cc (No. 9)
Symmetry-distinct sites (fractional):
Pr 0.000 0.177 0.000 x4
B 0.495 0.033 0.914 x4
O 0.172 0.483 0.180 x4
O 0.271 0.064 0.382 x4
O 0.448 0.200 0.937 x4

---

Pr3BO6: relaxed, PBE.

Properties
As for the total energy: -8.157 eV per atom. Its magnetic moment is 0.0 μB per formula unit.

abc: 9.209 11.604 5.376
angles: 90.00 90.00 90.00
Space group Cmc2_1 (No. 36)
Symmetry-distinct sites (fractional):
Pr 0.000 0.107 0.000 x4
Pr 0.191 0.389 0.042 x8
B 0.000 0.307 0.595 x4
O 0.000 0.298 0.315 x4
O 0.000 0.430 0.697 x4
O 0.133 0.247 0.710 x8
O 0.160 0.010 0.277 x8

---

PrBO3: relaxed, PBE.

Properties
As for the total energy: -8.297 eV per atom. Its magnetic moment is 0.0 μB per formula unit.

abc: 5.852 5.104 8.209
angles: 90.00 90.00 90.00
Space group Pnma (No. 62)
Symmetry-distinct sites (fractional):
Pr 0.243 0.250 0.085 x4
B 0.081 0.250 0.738 x4
O 0.085 0.016 0.824 x8
O 0.095 0.250 0.571 x4